CsMnF3: optimized geometry, GGA+U.

Cell and atoms, written as POSCAR:
```
CsMnF3
1.0
3.4191 0.0000 0.0000
0.0000 8.2875 0.0000
0.0000 0.0000 7.8437
Cs Mn F
2 2 6
direct
0.0000 0.0000 0.0000
0.0000 0.5000 0.5000
0.5000 0.0000 0.5295
0.5000 0.5000 0.0295
0.0000 0.1535 0.5888
0.0000 0.3465 0.0888
0.0000 0.6535 0.0888
0.0000 0.8465 0.5888
0.5000 0.0000 0.2763
0.5000 0.5000 0.7763
```

## Properties
Calculated density = 3.66 g/cm3
M_tot = 10.00 μB per cell
VASP energy = -5.33 eV/atom